(1)
Computed, not measured: an optimized crystal structure of TmCuO3 at the PBE level of DFT.

- calculated volume (Å³ per cell) = 239.3
- space group = Pbcm, No. 57
- crystal system = orthorhombic
- energy relative to the elements, uncorrected (eV/atom) = -2.10

abc: 3.720 5.278 12.189
angles: 90.00 90.00 90.00
Positions (direct):
Tm: 0.746 0.250 0.919
Tm: 0.746 0.750 0.581
Tm: 0.254 0.750 0.081
Tm: 0.254 0.250 0.419
Cu: 0.916 0.250 0.173
Cu: 0.916 0.750 0.327
Cu: 0.084 0.750 0.827
Cu: 0.084 0.250 0.673
O: 0.834 0.500 0.750
O: 0.166 0.000 0.250
O: 0.166 0.500 0.250
O: 0.834 0.000 0.750
O: 0.257 0.508 0.921
O: 0.257 0.492 0.579
O: 0.743 0.008 0.079
O: 0.743 0.992 0.421
O: 0.257 0.008 0.579
O: 0.257 0.992 0.921
O: 0.743 0.508 0.421
O: 0.743 0.492 0.079

(2)
Computed, not measured: an optimized crystal structure of Tm12Cu3O5 at the PBE level of DFT.

- DOS(E_F) (states/eV/cell) = 44.98
- calculated volume (Å³ per cell) = 1649.9
- space group = Ia-3d, No. 230
- crystal system = cubic
- energy relative to the elements, uncorrected (eV/atom) = -1.48

abc: 12.893 12.893 12.893
angles: 109.47 109.47 109.47
Positions (direct):
Tm: 0.705 0.114 0.019
Tm: 0.314 0.519 0.405
Tm: 0.981 0.386 0.295
Tm: 0.519 0.205 0.114
Tm: 0.591 0.705 0.686
Tm: 0.981 0.595 0.186
Tm: 0.314 0.795 0.409
Tm: 0.095 0.909 0.114
Tm: 0.595 0.981 0.686
Tm: 0.705 0.591 0.186
Tm: 0.795 0.481 0.386
Tm: 0.814 0.905 0.019
Tm: 0.114 0.705 0.519
Tm: 0.386 0.405 0.091
Tm: 0.091 0.905 0.386
Tm: 0.409 0.114 0.595
Tm: 0.091 0.186 0.205
Tm: 0.481 0.686 0.095
Tm: 0.814 0.909 0.295
Tm: 0.114 0.409 0.095
Tm: 0.386 0.981 0.795
Tm: 0.595 0.614 0.409
Tm: 0.905 0.814 0.519
Tm: 0.795 0.314 0.909
Tm: 0.405 0.386 0.591
Tm: 0.095 0.186 0.481
Tm: 0.205 0.686 0.091
Tm: 0.186 0.091 0.705
Tm: 0.614 0.019 0.205
Tm: 0.886 0.591 0.905
Tm: 0.519 0.314 0.905
Tm: 0.591 0.886 0.405
Tm: 0.909 0.814 0.795
Tm: 0.909 0.095 0.614
Tm: 0.886 0.295 0.481
Tm: 0.186 0.095 0.981
Tm: 0.614 0.595 0.909
Tm: 0.405 0.019 0.314
Tm: 0.295 0.409 0.814
Tm: 0.205 0.519 0.614
Tm: 0.905 0.091 0.886
Tm: 0.686 0.205 0.591
Tm: 0.481 0.795 0.886
Tm: 0.019 0.405 0.814
Tm: 0.409 0.295 0.314
Tm: 0.019 0.614 0.705
Tm: 0.686 0.481 0.595
Tm: 0.295 0.886 0.981
Cu: 0.750 0.375 0.125
Cu: 0.875 0.750 0.125
Cu: 0.375 0.750 0.625
Cu: 0.250 0.125 0.375
Cu: 0.875 0.125 0.250
Cu: 0.375 0.625 0.250
Cu: 0.625 0.375 0.750
Cu: 0.125 0.875 0.750
Cu: 0.750 0.875 0.625
Cu: 0.625 0.250 0.375
Cu: 0.125 0.250 0.875
Cu: 0.250 0.625 0.875
O: 0.125 0.375 0.250
O: 0.000 0.500 0.000
O: 0.000 0.000 0.000
O: 0.375 0.250 0.125
O: 0.500 0.000 0.500
O: 0.500 0.500 0.000
O: 0.125 0.750 0.375
O: 0.750 0.125 0.875
O: 0.750 0.625 0.375
O: 0.375 0.125 0.750
O: 0.625 0.875 0.250
O: 0.500 0.500 0.500
O: 0.500 0.000 0.000
O: 0.000 0.000 0.500
O: 0.250 0.375 0.625
O: 0.250 0.875 0.125
O: 0.000 0.500 0.500
O: 0.875 0.250 0.625
O: 0.625 0.750 0.875
O: 0.875 0.625 0.750

(3)
Computed, not measured: an optimized crystal structure of Tm2Cu2O5 at the PBE level of DFT.

- calculated volume (Å³ per cell) = 465.4
- space group = Pna2_1, No. 33
- crystal system = orthorhombic
- energy relative to the elements, uncorrected (eV/atom) = -2.25

abc: 3.460 10.819 12.433
angles: 90.00 90.00 90.00
Positions (direct):
Tm: 0.276 0.542 0.830
Tm: 0.724 0.458 0.330
Tm: 0.224 0.042 0.830
Tm: 0.776 0.958 0.330
Tm: 0.277 0.708 0.502
Tm: 0.723 0.292 0.002
Tm: 0.223 0.208 0.502
Tm: 0.777 0.792 0.002
Cu: 0.845 0.762 0.719
Cu: 0.155 0.238 0.219
Cu: 0.655 0.262 0.719
Cu: 0.345 0.738 0.219
Cu: 0.840 0.489 0.612
Cu: 0.160 0.511 0.112
Cu: 0.660 0.989 0.612
Cu: 0.340 0.011 0.112
O: 0.272 0.922 0.972
O: 0.728 0.078 0.472
O: 0.228 0.422 0.972
O: 0.772 0.578 0.472
O: 0.724 0.929 0.764
O: 0.276 0.071 0.264
O: 0.776 0.429 0.764
O: 0.224 0.571 0.264
O: 0.166 0.625 0.666
O: 0.834 0.375 0.166
O: 0.334 0.125 0.666
O: 0.666 0.875 0.166
O: 0.781 0.821 0.566
O: 0.219 0.179 0.066
O: 0.719 0.321 0.566
O: 0.281 0.679 0.066
O: 0.276 0.828 0.359
O: 0.724 0.172 0.859
O: 0.224 0.328 0.359
O: 0.776 0.672 0.859

(4)
Computed, not measured: an optimized crystal structure of Tm3Cu5O12 at the PBE level of DFT.

- DOS(E_F) (states/eV/cell) = 64.14
- calculated volume (Å³ per cell) = 915.1
- space group = Ia-3d, No. 230
- crystal system = cubic
- energy relative to the elements, uncorrected (eV/atom) = -1.57

abc: 10.593 10.593 10.593
angles: 109.47 109.47 109.47
Positions (direct):
Tm: 0.750 0.375 0.125
Tm: 0.875 0.750 0.125
Tm: 0.375 0.750 0.625
Tm: 0.250 0.125 0.375
Tm: 0.875 0.125 0.250
Tm: 0.375 0.625 0.250
Tm: 0.625 0.375 0.750
Tm: 0.125 0.875 0.750
Tm: 0.750 0.875 0.625
Tm: 0.625 0.250 0.375
Tm: 0.125 0.250 0.875
Tm: 0.250 0.625 0.875
Cu: 0.125 0.375 0.250
Cu: 0.000 0.500 0.000
Cu: 0.000 0.000 0.000
Cu: 0.375 0.250 0.125
Cu: 0.500 0.000 0.500
Cu: 0.500 0.500 0.000
Cu: 0.125 0.750 0.375
Cu: 0.750 0.125 0.875
Cu: 0.750 0.625 0.375
Cu: 0.375 0.125 0.750
Cu: 0.625 0.875 0.250
Cu: 0.500 0.500 0.500
Cu: 0.500 0.000 0.000
Cu: 0.000 0.000 0.500
Cu: 0.250 0.375 0.625
Cu: 0.250 0.875 0.125
Cu: 0.000 0.500 0.500
Cu: 0.875 0.250 0.625
Cu: 0.625 0.750 0.875
Cu: 0.875 0.625 0.750
O: 0.705 0.127 0.034
O: 0.328 0.534 0.406
O: 0.966 0.373 0.295
O: 0.534 0.205 0.127
O: 0.578 0.705 0.672
O: 0.966 0.594 0.172
O: 0.328 0.795 0.422
O: 0.094 0.922 0.127
O: 0.594 0.966 0.672
O: 0.705 0.578 0.172
O: 0.795 0.466 0.373
O: 0.828 0.906 0.034
O: 0.127 0.705 0.534
O: 0.373 0.406 0.078
O: 0.078 0.906 0.373
O: 0.422 0.127 0.594
O: 0.078 0.172 0.205
O: 0.466 0.672 0.094
O: 0.828 0.922 0.295
O: 0.127 0.422 0.094
O: 0.373 0.966 0.795
O: 0.594 0.627 0.422
O: 0.906 0.828 0.534
O: 0.795 0.328 0.922
O: 0.406 0.373 0.578
O: 0.094 0.172 0.466
O: 0.205 0.672 0.078
O: 0.172 0.078 0.705
O: 0.627 0.034 0.205
O: 0.873 0.578 0.906
O: 0.534 0.328 0.906
O: 0.578 0.873 0.406
O: 0.922 0.828 0.795
O: 0.922 0.094 0.627
O: 0.873 0.295 0.466
O: 0.172 0.094 0.966
O: 0.627 0.594 0.922
O: 0.406 0.034 0.328
O: 0.295 0.422 0.828
O: 0.205 0.534 0.627
O: 0.906 0.078 0.873
O: 0.672 0.205 0.578
O: 0.466 0.795 0.873
O: 0.034 0.406 0.828
O: 0.422 0.295 0.328
O: 0.034 0.627 0.705
O: 0.672 0.466 0.594
O: 0.295 0.873 0.966

(5)
Computed, not measured: an optimized crystal structure of TmCu2O4 at the PBE level of DFT.

- DOS(E_F) (states/eV/cell) = 5.69
- calculated volume (Å³ per cell) = 152.1
- space group = I4_1/a, No. 88
- crystal system = tetragonal
- energy relative to the elements, uncorrected (eV/atom) = -1.70

abc: 6.231 6.231 6.231
angles: 126.23 126.23 79.51
Positions (direct):
Tm: 0.750 0.250 0.500
Tm: 0.000 0.000 0.000
Cu: 0.375 0.625 0.250
Cu: 0.375 0.625 0.750
Cu: 0.875 0.625 0.250
Cu: 0.375 0.125 0.750
O: 0.151 0.596 0.853
O: 0.743 0.298 0.147
O: 0.346 0.993 0.946
O: 0.702 0.849 0.446
O: 0.048 0.401 0.054
O: 0.404 0.257 0.554
O: 0.007 0.952 0.353
O: 0.599 0.654 0.647

(6)
Computed, not measured: an optimized crystal structure of TmCuO3 at the PBE level of DFT.

- DOS(E_F) (states/eV/cell) = 4.13
- calculated volume (Å³ per cell) = 107.2
- space group = Cmmm, No. 65
- crystal system = orthorhombic
- energy relative to the elements, uncorrected (eV/atom) = -1.76

abc: 3.657 5.206 6.202
angles: 114.81 90.00 90.00
Positions (direct):
Tm: 0.000 0.654 0.309
Tm: 0.000 0.346 0.691
Cu: 0.500 0.116 0.232
Cu: 0.500 0.884 0.768
O: 0.500 0.294 0.000
O: 0.000 0.854 0.708
O: 0.500 0.706 0.000
O: 0.500 0.500 0.500
O: 0.000 0.146 0.292
O: 0.500 0.000 0.500

(7)
Computed, not measured: an optimized crystal structure of TmCuO at the PBE level of DFT.

- DOS(E_F) (states/eV/cell) = 1.62
- calculated volume (Å³ per cell) = 107.2
- space group = C2/m, No. 12
- crystal system = monoclinic
- energy relative to the elements, uncorrected (eV/atom) = -0.93

abc: 3.791 3.593 16.766
angles: 129.94 83.51 58.16
Positions (direct):
Tm: 0.715 0.229 0.341
Tm: 0.285 0.771 0.659
Cu: 0.962 0.959 0.116
Cu: 0.038 0.041 0.884
O: 0.377 0.122 0.124
O: 0.623 0.878 0.876

(8)
Computed, not measured: an optimized crystal structure of Tm3CuO at the PBE level of DFT.

- DOS(E_F) (states/eV/cell) = 5.37
- calculated volume (Å³ per cell) = 98.1
- space group = Pm-3m, No. 221
- crystal system = cubic
- energy relative to the elements, uncorrected (eV/atom) = -1.15

abc: 4.611 4.611 4.611
angles: 90.00 90.00 90.00
Positions (direct):
Tm: 0.000 0.500 0.000
Tm: 0.000 0.000 0.500
Tm: 0.500 0.000 0.000
O: 0.000 0.000 0.000
Cu: 0.500 0.500 0.500

(9)
Computed, not measured: an optimized crystal structure of Tm3CuO6 at the PBE level of DFT.

- DOS(E_F) (states/eV/cell) = 5.61
- calculated volume (Å³ per cell) = 253.3
- space group = Cmc2_1, No. 36
- crystal system = orthorhombic
- energy relative to the elements, uncorrected (eV/atom) = -2.78

abc: 5.373 6.942 6.942
angles: 101.99 90.00 90.00
Positions (direct):
Tm: 0.474 0.912 0.689
Tm: 0.974 0.689 0.912
Tm: 0.419 0.397 0.603
Tm: 0.919 0.603 0.397
Tm: 0.974 0.088 0.311
Tm: 0.474 0.311 0.088
Cu: 0.981 0.151 0.849
Cu: 0.481 0.849 0.151
O: 0.197 0.675 0.645
O: 0.697 0.645 0.675
O: 0.171 0.404 0.900
O: 0.671 0.900 0.404
O: 0.246 0.019 0.981
O: 0.655 0.222 0.778
O: 0.155 0.778 0.222
O: 0.746 0.981 0.019
O: 0.171 0.100 0.596
O: 0.671 0.596 0.100
O: 0.197 0.355 0.325
O: 0.697 0.325 0.355